1.
A geometry-optimized PaNbSi2Mo structure, computed with PBE.

abc: 3.969 3.969 11.502
angles: 90.00 90.00 90.00
Element x y z (fractional)
Pa 0.000 0.000 0.000
Pa 0.500 0.500 0.500
Nb 0.000 0.500 0.750
Nb 0.500 0.000 0.250
Si 0.000 0.000 0.398
Si 0.000 0.000 0.602
Si 0.500 0.500 0.102
Si 0.500 0.500 0.898
Mo 0.000 0.500 0.250
Mo 0.500 0.000 0.750

Output
Its formation energy from raw total energies is -0.490 eV per atom. The value obtained for the total energy is -87.4 eV/cell. Its space-group type is I-4m2 (119). The value obtained for the calculated volume is 18.120 Å³/atom.

***

2.
A geometry-optimized PaNbSnMo structure, computed with PBE.

abc: 6.914 6.914 6.914
angles: 90.00 90.00 90.00
Element x y z (fractional)
Pa 0.000 0.000 0.000
Pa 0.000 0.500 0.500
Pa 0.500 0.000 0.500
Pa 0.500 0.500 0.000
Nb 0.250 0.250 0.750
Nb 0.250 0.750 0.250
Nb 0.750 0.250 0.250
Nb 0.750 0.750 0.750
Sn 0.250 0.250 0.250
Sn 0.250 0.750 0.750
Sn 0.750 0.250 0.750
Sn 0.750 0.750 0.250
Mo 0.000 0.000 0.500
Mo 0.000 0.500 0.000
Mo 0.500 0.000 0.000
Mo 0.500 0.500 0.500

Output
The value obtained for the total energy is -133.2 eV/cell. Its space-group type is F-43m (216). The formation energy from the elements comes out at 1.1 eV/f.u. The value obtained for the calculated volume is 20.661 Å³/atom.

***

3.
A geometry-optimized PaTaNbMo structure, computed with PBE.

abc: 6.729 6.729 6.729
angles: 90.00 90.00 90.00
Element x y z (fractional)
Pa 0.000 0.000 0.000
Pa 0.000 0.500 0.500
Pa 0.500 0.000 0.500
Pa 0.500 0.500 0.000
Ta 0.000 0.000 0.500
Ta 0.000 0.500 0.000
Ta 0.500 0.000 0.000
Ta 0.500 0.500 0.500
Nb 0.250 0.250 0.750
Nb 0.250 0.750 0.250
Nb 0.750 0.250 0.250
Nb 0.750 0.750 0.750
Mo 0.250 0.250 0.250
Mo 0.250 0.750 0.750
Mo 0.750 0.250 0.750
Mo 0.750 0.750 0.250

Output
The value obtained for the total energy is -169.3 eV/cell. Its space-group type is F-43m (216). The formation energy from the elements comes out at -0.1 eV/f.u. The value obtained for the calculated volume is 19.040 Å³/atom.

***

4.
A geometry-optimized PaNbTcMo structure, computed with PBE.

abc: 6.645 6.645 6.645
angles: 90.00 90.00 90.00
Element x y z (fractional)
Pa 0.000 0.000 0.000
Pa 0.000 0.500 0.500
Pa 0.500 0.000 0.500
Pa 0.500 0.500 0.000
Nb 0.000 0.000 0.500
Nb 0.000 0.500 0.000
Nb 0.500 0.000 0.000
Nb 0.500 0.500 0.500
Tc 0.250 0.250 0.250
Tc 0.250 0.750 0.750
Tc 0.750 0.250 0.750
Tc 0.750 0.750 0.250
Mo 0.250 0.250 0.750
Mo 0.250 0.750 0.250
Mo 0.750 0.250 0.250
Mo 0.750 0.750 0.750

Output
The value obtained for the total energy is -165.0 eV/cell. Its space-group type is F-43m (216). The formation energy from the elements comes out at -0.5 eV/f.u. The value obtained for the calculated volume is 18.337 Å³/atom.

***

5.
A geometry-optimized PaNbMoW structure, computed with PBE.

abc: 6.652 6.652 6.652
angles: 90.00 90.00 90.00
Element x y z (fractional)
Pa 0.000 0.000 0.000
Pa 0.000 0.500 0.500
Pa 0.500 0.000 0.500
Pa 0.500 0.500 0.000
Nb 0.250 0.250 0.250
Nb 0.250 0.750 0.750
Nb 0.750 0.250 0.750
Nb 0.750 0.750 0.250
Mo 0.250 0.250 0.750
Mo 0.250 0.750 0.250
Mo 0.750 0.250 0.250
Mo 0.750 0.750 0.750
W 0.000 0.000 0.500
W 0.000 0.500 0.000
W 0.500 0.000 0.000
W 0.500 0.500 0.500

Output
The value obtained for the total energy is -172.4 eV/cell. Its space-group type is F-43m (216). The formation energy from the elements comes out at 0.2 eV/f.u. The value obtained for the calculated volume is 18.397 Å³/atom.

***

6.
A geometry-optimized ZrPaNbMo structure, computed with PBE.

abc: 6.861 6.861 6.861
angles: 90.00 90.00 90.00
Element x y z (fractional)
Zr 0.000 0.000 0.000
Zr 0.000 0.500 0.500
Zr 0.500 0.000 0.500
Zr 0.500 0.500 0.000
Pa 0.000 0.000 0.500
Pa 0.000 0.500 0.000
Pa 0.500 0.000 0.000
Pa 0.500 0.500 0.500
Nb 0.250 0.250 0.250
Nb 0.250 0.750 0.750
Nb 0.750 0.250 0.750
Nb 0.750 0.750 0.250
Mo 0.250 0.250 0.750
Mo 0.250 0.750 0.250
Mo 0.750 0.250 0.250
Mo 0.750 0.750 0.750

Output
The value obtained for the total energy is -155.5 eV/cell. Its space-group type is F-43m (216). The formation energy from the elements comes out at 0.1 eV/f.u. The value obtained for the calculated volume is 20.182 Å³/atom.

***

7.
A geometry-optimized NbMo3Pb structure, computed with PBE.

abc: 4.919 4.919 4.919
angles: 90.00 90.00 90.00
Element x y z (fractional)
Nb 0.000 0.000 0.000
Mo 0.000 0.500 0.500
Mo 0.500 0.000 0.500
Mo 0.500 0.500 0.000
Pb 0.500 0.500 0.500

Output
The value obtained for the total energy is -33.2 eV/cell. Its space-group type is Pm-3m (221). The energy above the most stable polymorph in this dataset comes out at 87.0 kJ per mole of atoms. The formation energy from the elements comes out at 13.0 eV/f.u. The value obtained for the calculated volume is 23.799 Å³/atom.

***

8.
A geometry-optimized NbMo3Pb structure, computed with PBE.

abc: 4.831 4.831 4.831
angles: 90.00 90.00 90.00
Element x y z (fractional)
Nb 0.000 0.000 0.000
Mo 0.000 0.000 0.500
Mo 0.000 0.500 0.000
Mo 0.500 0.000 0.000
Pb 0.500 0.500 0.500

Output
The value obtained for the total energy is -37.7 eV/cell. Its space-group type is Pm-3m (221). The energy above the most stable polymorph in this dataset comes out at 0.0 kJ per mole of atoms. The formation energy from the elements comes out at 8.5 eV/f.u. The value obtained for the calculated volume is 22.544 Å³/atom.

***

9.
A geometry-optimized NbMoPb3 structure, computed with PBE.

abc: 5.494 5.494 5.494
angles: 90.00 90.00 90.00
Element x y z (fractional)
Nb 0.000 0.000 0.000
Mo 0.500 0.500 0.500
Pb 0.000 0.000 0.500
Pb 0.000 0.500 0.000
Pb 0.500 0.000 0.000

Output
The value obtained for the total energy is -25.6 eV/cell. Its space-group type is Pm-3m (221). The energy above the most stable polymorph in this dataset comes out at 0.0 kJ per mole of atoms. The formation energy from the elements comes out at 6.4 eV/f.u. The value obtained for the calculated volume is 33.171 Å³/atom.

***

10.
A geometry-optimized RbNbMoPb2 structure, computed with PBE.

abc: 5.663 5.663 4.984
angles: 90.00 90.00 90.00
Element x y z (fractional)
Rb 0.000 0.000 0.000
Nb 0.500 0.500 0.500
Mo 0.500 0.500 0.000
Pb 0.000 0.500 0.500
Pb 0.500 0.000 0.500

Output
The value obtained for the total energy is -25.4 eV/cell. Its space-group type is P4/mmm (123). The formation energy from the elements comes out at 3.9 eV/f.u. The value obtained for the calculated volume is 31.964 Å³/atom.

***

11.
A geometry-optimized NbReMo2Pb structure, computed with PBE.

abc: 4.749 4.749 5.105
angles: 90.00 90.00 90.00
Element x y z (fractional)
Nb 0.000 0.000 0.000
Re 0.500 0.500 0.500
Mo 0.000 0.500 0.500
Mo 0.500 0.000 0.500
Pb 0.500 0.500 0.000

Output
The value obtained for the total energy is -39.0 eV/cell. Its space-group type is P4/mmm (123). The formation energy from the elements comes out at 8.9 eV/f.u. The value obtained for the calculated volume is 23.024 Å³/atom.

***

12.
A geometry-optimized SrNb2MoPb structure, computed with PBE.

abc: 5.005 5.005 4.839
angles: 90.00 90.00 90.00
Element x y z (fractional)
Sr 0.000 0.000 0.000
Nb 0.000 0.500 0.000
Nb 0.500 0.000 0.000
Mo 0.000 0.000 0.500
Pb 0.500 0.500 0.500

Output
The value obtained for the total energy is -24.0 eV/cell. Its space-group type is P4/mmm (123). The formation energy from the elements comes out at 12.4 eV/f.u. The value obtained for the calculated volume is 24.243 Å³/atom.

***

13.
A geometry-optimized NbMoPd2 structure, computed with PBE.

abc: 6.403 6.403 6.403
angles: 90.00 90.00 90.00
Element x y z (fractional)
Nb 0.000 0.000 0.000
Nb 0.000 0.500 0.500
Nb 0.500 0.000 0.500
Nb 0.500 0.500 0.000
Mo 0.000 0.000 0.500
Mo 0.000 0.500 0.000
Mo 0.500 0.000 0.000
Mo 0.500 0.500 0.500
Pd 0.250 0.250 0.250
Pd 0.250 0.250 0.750
Pd 0.250 0.750 0.250
Pd 0.250 0.750 0.750
Pd 0.750 0.250 0.250
Pd 0.750 0.250 0.750
Pd 0.750 0.750 0.250
Pd 0.750 0.750 0.750

Output
The value obtained for the total energy is -121.7 eV/cell. Its space-group type is Fm-3m (225). The energy above the most stable polymorph in this dataset comes out at 21.9 kJ per mole of atoms. The formation energy from the elements comes out at 0.9 eV/f.u. The value obtained for the calculated volume is 16.407 Å³/atom.

***

Taking the records one at a time from the top gives D(E_F) values of 11.30, 16.26, 14.70, 14.98, 18.81, 17.77, 9.64, 9.42, 3.29, 3.08, 9.07, 5.97, 27.54 states/eV per cell.